# Cu2Si2Pb

Cu2Si2Pb after structural relaxation (GGA-PBE, the Alexandria database).

Output
- Theoretical density: 7.49 g cm⁻³
- Raw formation energy: 0.7 eV/f.u.
- Offset from the most stable computed form: 0 meV/atom
- Magnetization: 0.0 Bohr magnetons per cell

a b c (Å): 4.166 4.166 9.980
angles (deg): 90.00 90.00 90.00
Sites, in units of the cell vectors:
Cu  0.000  0.500  0.250
Cu  0.000  0.500  0.750
Cu  0.500  0.000  0.250
Cu  0.500  0.000  0.750
Si  0.000  0.000  0.121
Si  0.000  0.000  0.879
Si  0.500  0.500  0.379
Si  0.500  0.500  0.621
Pb  0.000  0.000  0.500
Pb  0.500  0.500  0.000